{"formula": "AlW2Cl", "functional": "PBE", "state": "relaxed", "cell": [[2.949, -0.002, 0.000], [-1.642, 2.450, 0.000], [0.000, 0.000, 9.127]], "species": ["Al", "W", "W", "Cl"], "frac_coords": [[0.500, 0.500, 0.250], [0.000, 0.000, 0.999], [0.000, 0.000, 0.501], [0.500, 0.500, 0.750]], "e_above_lowest_polymorph_kcal_per_mol_atoms": 7.77, "e_form_raw_ev_per_atom": 0.5713, "dft_energy_ev_per_atom": -7.30}